{"formula": "LiCoNi2", "functional": "PBE-GGA", "state": "optimized geometry", "cell": [[2.530, -3.488, 0.000], [2.530, 3.488, 0.000], [0.000, 0.000, 2.463]], "species": ["Li", "Co", "Ni", "Ni"], "frac_coords": [[0.000, 0.000, 0.000], [0.500, 0.500, 0.000], [0.000, 0.500, 0.500], [0.500, 0.000, 0.500]]}



{"formula": "Li4CoNi", "functional": "PBE-GGA", "state": "optimized geometry", "cell": [[0.000, 3.322, 3.322], [3.322, 0.000, 3.322], [3.322, 3.322, 0.000]], "species": ["Li", "Li", "Li", "Li", "Co", "Ni"], "frac_coords": [[0.125, 0.125, 0.125], [0.125, 0.125, 0.625], [0.125, 0.625, 0.125], [0.625, 0.125, 0.125], [0.750, 0.750, 0.750], [0.500, 0.500, 0.500]]}



| no. | ΔE_f (meV/atom) |
| --- | --- |
| 1 | 14 |
| 2 | 388 |